4
Lattice="3.304 0.000 0.000 0.000 3.304 0.000 0.000 0.000 7.036" Properties=species:S:1:pos:R:3 comment="PmScRh2 | Alexandria via LeMat-Bulk | GGA-PBE | relaxed" relative_energy_ev_per_fu=0.00 formation_energy_mev_per_atom=-806 crystal_system=tetragonal m_tot_mub_per_fu=0.0 pbc="T T T"
Pm 0.000 0.000 0.000
Sc 0.000 0.000 3.518
Rh 1.652 1.652 1.951
Rh 1.652 1.652 5.086

***

10
Lattice="3.418 0.000 0.000 0.000 3.418 0.000 0.000 0.000 17.753" Properties=species:S:1:pos:R:3 comment="Pm4ScRh5 | Alexandria via LeMat-Bulk | GGA-PBE | relaxed" formation_energy_mev_per_atom=-716 crystal_system=tetragonal m_tot_mub_per_fu=0.0 pbc="T T T"
Pm 0.000 0.000 1.830
Pm 0.000 0.000 5.481
Pm 0.000 0.000 12.272
Pm 0.000 0.000 15.923
Sc 0.000 0.000 8.876
Rh 1.709 1.709 0.000
Rh 1.709 1.709 3.661
Rh 1.709 1.709 7.352
Rh 1.709 1.709 10.400
Rh 1.709 1.709 14.092

***

4
Lattice="0.000 3.430 3.430 3.430 0.000 3.430 3.430 3.430 0.000" Properties=species:S:1:pos:R:3 comment="PmScSiRh | Alexandria via LeMat-Bulk | GGA-PBE | relaxed" crystal_system=cubic m_tot_mub_per_fu=0.0 formation_energy_uncorrected_mev_per_atom=-599 pbc="T T T"
Pm 0.000 0.000 0.000
Sc 3.430 3.430 3.430
Si 5.146 5.146 5.146
Rh 1.715 1.715 1.715

***

5
Lattice="-2.060 2.060 5.575 2.060 -2.060 5.575 2.060 2.060 -5.575" Properties=species:S:1:pos:R:3 comment="PmScSi2Rh | Alexandria via LeMat-Bulk | GGA-PBE | relaxed" crystal_system=tetragonal m_tot_mub_per_fu=0.0 formation_energy_uncorrected_mev_per_atom=-922 pbc="T T T"
Pm 0.000 0.000 0.000
Sc 2.060 0.000 2.787
Si 0.000 0.000 4.384
Si 0.000 0.000 6.765
Rh 0.000 2.060 2.787

***

10
Lattice="4.343 0.000 0.000 0.000 4.343 0.000 0.000 0.000 11.384" Properties=species:S:1:pos:R:3 comment="Pm2ScSn3Rh4 | Alexandria via LeMat-Bulk | GGA-PBE | relaxed" formation_energy_mev_per_atom=-769 crystal_system=tetragonal m_tot_mub_per_fu=0.0 pbc="T T T"
Pm 0.000 2.172 2.728
Pm 2.172 0.000 8.655
Sc 0.000 0.000 5.692
Sn 0.000 2.172 9.909
Sn 2.172 0.000 1.475
Sn 2.172 2.172 5.692
Rh 0.000 0.000 0.000
Rh 0.000 2.172 7.299
Rh 2.172 0.000 4.085
Rh 2.172 2.172 0.000

***

20
Lattice="10.325 0.000 0.000 0.000 10.325 0.000 0.000 0.000 3.726" Properties=species:S:1:pos:R:3 comment="Pm2ScSn2Rh5 | Alexandria via LeMat-Bulk | GGA-PBE | relaxed" formation_energy_mev_per_atom=-615 crystal_system=tetragonal m_tot_mub_per_fu=0.0 pbc="T T T"
Pm 1.761 3.401 0.000
Pm 3.401 8.564 0.000
Pm 6.924 1.761 0.000
Pm 8.564 6.924 0.000
Sc 0.000 0.000 0.000
Sc 5.162 5.162 0.000
Sn 1.325 6.488 0.000
Sn 3.837 1.325 0.000
Sn 6.488 8.999 0.000
Sn 8.999 3.837 0.000
Rh 0.000 5.162 1.863
Rh 0.614 8.245 1.863
Rh 2.080 0.614 1.863
Rh 3.082 5.777 1.863
Rh 4.548 3.082 1.863
Rh 5.162 0.000 1.863
Rh 5.777 7.243 1.863
Rh 7.243 4.548 1.863
Rh 8.245 9.711 1.863
Rh 9.711 2.080 1.863

***

10
Lattice="4.332 0.000 0.000 0.000 4.332 0.000 0.000 0.000 11.386" Properties=species:S:1:pos:R:3 comment="Pm2ScTe3Rh4 | Alexandria via LeMat-Bulk | GGA-PBE | relaxed" crystal_system=tetragonal m_tot_mub_per_fu=0.5 formation_energy_uncorrected_mev_per_atom=-855 pbc="T T T"
Pm 0.000 2.166 2.535
Pm 2.166 0.000 8.852
Sc 0.000 0.000 5.693
Te 0.000 2.166 9.818
Te 2.166 0.000 1.569
Te 2.166 2.166 5.693
Rh 0.000 0.000 0.000
Rh 0.000 2.166 7.254
Rh 2.166 0.000 4.133
Rh 2.166 2.166 0.000

***

4
Lattice="0.000 3.575 3.575 3.575 0.000 3.575 3.575 3.575 0.000" Properties=species:S:1:pos:R:3 comment="PmScTlRh | Alexandria via LeMat-Bulk | GGA-PBE | relaxed" formation_energy_mev_per_atom=-419 crystal_system=cubic m_tot_mub_per_fu=0.0 pbc="T T T"
Pm 0.000 0.000 0.000
Sc 3.575 3.575 3.575
Tl 1.788 1.788 1.788
Rh 5.363 5.363 5.363